Material: Cs3MnBe
Method: DFT, SCAN
State: PBEsol geometry

Summary:
- N(E_F) (states/eV/atom) = 2.0283
- E_form (eV per atom) = 1.128
- total magnetic moment (μB per atom) = 1.07

Lattice parameters (Å, degrees): 6.8354 6.8354 6.8354 90.00 90.00 90.00
With the nearest neighbours (Å) after each atom.
Space group Pm-3m (No. 221)
Unique sites:
Cs (0.0000, 0.0000, 0.5000) [3 per cell]  2 Mn 3.42
Mn (0.0000, 0.0000, 0.0000) [1 per cell]  6 Cs 3.42
Be (0.5000, 0.5000, 0.5000) [1 per cell]  12 Cs 4.83


Material: RuPt3Pb
Method: DFT, SCAN
State: PBEsol geometry

Summary:
- N(E_F) (states/eV/atom) = 1.0454
- E_form (eV per atom) = 1.883
- total magnetic moment (μB per atom) = 0.67

Lattice parameters (Å, degrees): 4.9175 4.9175 4.9175 90.00 90.00 90.00
With the nearest neighbours (Å) after each atom.
Space group Pm-3m (No. 221)
Unique sites:
Ru (0.0000, 0.0000, 0.0000) [1 per cell]  12 Pt 3.48
Pt (0.0000, 0.5000, 0.5000) [3 per cell]  2 Pb 2.46
Pb (0.5000, 0.5000, 0.5000) [1 per cell]  6 Pt 2.46


Material: Ba2HgPd2
Method: DFT, SCAN
State: PBEsol geometry

Summary:
- N(E_F) (states/eV/atom) = 0.4790
- E_form (eV per atom) = -0.545
- total magnetic moment (μB per atom) = 0.00

Lattice parameters (Å, degrees): 7.8653 7.8653 4.4006 90.00 90.00 90.00
With the nearest neighbours (Å) after each atom.
Space group P4/mbm (No. 127)
Unique sites:
Ba (0.1776, 0.3224, 0.0000) [4 per cell]  6 Pd 3.13-3.26
Hg (0.0000, 0.0000, 0.5000) [2 per cell]  4 Pd 3.12
Pd (0.1228, 0.6228, 0.5000) [4 per cell]  1 Pd 2.73


Material: MgZnCd2
Method: DFT, SCAN
State: PBEsol geometry

Summary:
- N(E_F) (states/eV/atom) = 0.3238
- E_form (eV per atom) = -0.026
- total magnetic moment (μB per atom) = 0.00
- polymorph energy (0 for the lowest one) (eV/atom) = 0.016

Lattice parameters (Å, degrees): 3.0850 4.1464 6.0070 90.00 90.00 90.00
With the nearest neighbours (Å) after each atom.
Space group Pmm2 (No. 25)
Unique sites:
Mg (0.0000, 0.0000, 0.0000) [1 per cell]  6 Cd 2.87-3.14, 4 Zn 2.95, 2 Mg 3.08
Zn (0.5000, 0.5000, 0.2366) [1 per cell]  4 Mg 2.95, 6 Cd 2.96-3.05, 2 Zn 3.08
Cd (0.0000, 0.0000, 0.4779) [1 per cell]  2 Mg 2.87-3.14, 4 Zn 2.96, 6 Cd 3.04-3.08
Cd (0.5000, 0.5000, 0.7444) [1 per cell]  2 Zn 2.96-3.05, 4 Mg 3.01, 6 Cd 3.04-3.08


Material: YSi2Os
Method: DFT, SCAN
State: PBEsol geometry

Summary:
- final energy (eV per formula unit) = -119.64
- N(E_F) (states/eV/atom) = 0.7601
- total magnetic moment (μB per atom) = 0.00

Lattice parameters (Å, degrees): 3.0489 3.0489 25.3252 90.00 90.00 120.00
With the nearest neighbours (Å) after each atom.
Space group R-3m (No. 166, hexagonal axes)
Unique sites:
Y (0.0000, 0.0000, 0.0000) [3 per cell]  6 Si 3.03, 6 Y 3.05
Si (0.0000, 0.0000, 0.2361) [6 per cell]  3 Os 2.49
Os (0.0000, 0.0000, 0.5000) [3 per cell]  6 Si 2.49


Material: Be3SnO
Method: DFT, SCAN
State: PBEsol geometry

Summary:
- final energy (eV per formula unit) = -49.00
- N(E_F) (states/eV/atom) = 0.3744
- total magnetic moment (μB per atom) = 0.01

Lattice parameters (Å, degrees): 4.4379 4.4379 4.4379 90.00 90.00 90.00
With the nearest neighbours (Å) after each atom.
Space group Pm-3m (No. 221)
Unique sites:
Be (0.0000, 0.0000, 0.5000) [3 per cell]  2 Sn 2.22
Sn (0.0000, 0.0000, 0.0000) [1 per cell]  6 Be 2.22
O (0.5000, 0.5000, 0.5000) [1 per cell]  12 Be 3.14


Number 1 is which compound?
Cs3MnBe